LaTe2Os, optimized geometry, DFT PBE-GGA; crystal system = orthorhombic; magnetization = 0.0 μB per formula unit; energy relative to the elements, uncorrected = -0.35 eV/atom; total DFT energy (no corrections) = -5.960 eV/atom; Fermi-level density of states = 1.4 states/eV/f.u.; energy relative to the lowest polymorph listed for this composition = 84 meV per atom; symmetry = Cmmm (65)
1.0
3.0749 -4.0420 0.0000
3.0749 4.0420 0.0000
0.0000 0.0000 4.2759
La Te Os
1 2 1
Direct
0.0000 0.0000 0.0000 La
0.3038 0.6962 0.5000 Te
0.6962 0.3038 0.5000 Te
0.5000 0.5000 0.0000 Os


GaGe2Ru3, optimized geometry, DFT PBE-GGA; crystal system = tetragonal; magnetization = 0.0 μB per formula unit; total DFT energy (no corrections) = -6.982 eV/atom; Fermi-level density of states = 2.5 states/eV/f.u.; symmetry = P4/mmm (123); energy of formation from the pure elements = -300 meV/atom
1.0
3.0327 0.0000 0.0000
0.0000 3.0327 0.0000
0.0000 0.0000 9.0955
Ga Ge Ru
1 2 3
Direct
0.0000 0.0000 0.0000 Ga
0.0000 0.0000 0.3299 Ge
0.0000 0.0000 0.6701 Ge
0.5000 0.5000 0.1716 Ru
0.5000 0.5000 0.5000 Ru
0.5000 0.5000 0.8284 Ru


YCd2Re2, optimized geometry, DFT PBE-GGA; crystal system = tetragonal; magnetization = 0.0 μB per formula unit; total DFT energy (no corrections) = -6.123 eV/atom; Fermi-level density of states = 3.9 states/eV/f.u.; energy relative to the lowest polymorph listed for this composition = 36 meV per atom; symmetry = P4/mbm (127); energy of formation from the pure elements = 515 meV/atom
1.0
8.2365 0.0000 0.0000
0.0000 8.2365 0.0000
0.0000 0.0000 2.9747
Y Cd Re
2 4 4
Direct
0.0000 0.0000 0.0000 Y
0.5000 0.5000 0.0000 Y
0.1885 0.3115 0.5000 Cd
0.3115 0.8115 0.5000 Cd
0.6885 0.1885 0.5000 Cd
0.8115 0.6885 0.5000 Cd
0.1015 0.6015 0.0000 Re
0.3985 0.1015 0.0000 Re
0.6015 0.8985 0.0000 Re
0.8985 0.3985 0.0000 Re


- Which value of magnetization does entry 1 give?
  0.0 μB per formula unit


Copy entry 1 word for word.
LaTe2Os, optimized geometry, DFT PBE-GGA; crystal system = orthorhombic; magnetization = 0.0 μB per formula unit; energy relative to the elements, uncorrected = -0.35 eV/atom; total DFT energy (no corrections) = -5.960 eV/atom; Fermi-level density of states = 1.4 states/eV/f.u.; energy relative to the lowest polymorph listed for this composition = 84 meV per atom; symmetry = Cmmm (65)
1.0
3.0749 -4.0420 0.0000
3.0749 4.0420 0.0000
0.0000 0.0000 4.2759
La Te Os
1 2 1
Direct
0.0000 0.0000 0.0000 La
0.3038 0.6962 0.5000 Te
0.6962 0.3038 0.5000 Te
0.5000 0.5000 0.0000 Os